Entry 1:
InTeCl2: relaxed, GGA-PBEsol.

Lattice parameters (Å, degrees): 3.2802 3.2802 9.6803 90.00 90.00 90.00
Last column: nearest neighbours and their distance in Å.
Fractional coordinates of all 4 atoms:
1 In 0.5000 0.5000 0.0000  8 Cl 2.83
2 Cl 0.0000 0.0000 0.8317  4 In 2.83
3 Cl 0.0000 0.0000 0.1683  4 In 2.83
4 Te 0.5000 0.5000 0.5000  4 Te 3.28

Results
uncorrected formation energy: -320 meV per atom
spin magnetization: 0.000 μB/atom
calculated total energy: -2.951 eV/atom
ρ: 5.00 g cm⁻³
calculated volume: 104.2 Å³ per cell
distance to the lowest polymorph of the same formula: 113 meV per atom

***

Entry 2:
InTeCl2: relaxed, GGA-PBEsol.

Lattice parameters (Å, degrees): 4.1474 5.1436 5.6123 90.00 90.00 101.40
Last column: nearest neighbours and their distance in Å.
Fractional coordinates of all 4 atoms:
1 Cl 0.9369 0.0632 0.0000  2 In 2.60-2.65
2 Cl 0.4264 0.1115 0.5000  2 Te 2.63-2.67
3 Te 0.2701 0.5818 0.5000  2 Cl 2.63-2.67, 2 In 2.93
4 In 0.3667 0.7435 0.0000  2 Cl 2.60-2.65

Results
uncorrected formation energy: -433 meV per atom
spin magnetization: 0.000 μB/atom
calculated total energy: -3.064 eV/atom
ρ: 4.43 g cm⁻³
calculated volume: 117.4 Å³ per cell
distance to the lowest polymorph of the same formula: 0 meV per atom

***

Entry 3:
InTeCl2: relaxed, GGA-PBEsol.

Lattice parameters (Å, degrees): 3.3008 3.3008 10.1908 80.68 80.68 60.00
Last column: nearest neighbours and their distance in Å.
Fractional coordinates of all 4 atoms:
1 Cl 0.0896 0.0896 0.7311  1 In 2.69, 3 Te 3.00
2 Cl 0.9104 0.9104 0.2689  1 In 2.69, 3 Te 3.00
3 In 0.0000 0.0000 0.0000  2 Cl 2.69
4 Te 0.5000 0.5000 0.5000  6 Cl 3.00, 6 Te 3.30

Results
uncorrected formation energy: -160 meV per atom
spin magnetization: 0.000 μB/atom
calculated total energy: -2.792 eV/atom
ρ: 5.51 g cm⁻³
calculated volume: 94.5 Å³ per cell
distance to the lowest polymorph of the same formula: 272 meV per atom

***

> uncorrected formation energy of number 2 (InTeCl2)?

-433 meV per atom